Entry from the Alexandria database: crystalline Dy11Hg9Pd4 at its relaxed geometry (PBE-GGA).

```
data_Dy11Hg9Pd4
_chemical_formula_sum 'Dy22 Hg18 Pd8'
_cell_length_a 14.496
_cell_length_b 21.844
_cell_length_c 3.653
_cell_angle_alpha 90.00
_cell_angle_beta 90.00
_cell_angle_gamma 90.00
_space_group_name_H-M_alt 'C m m m'
_space_group_IT_number 65
_space_group_name_Hall '-C 2 2'
loop_
_atom_site_label
_atom_site_fract_x
_atom_site_fract_y
_atom_site_fract_z
Dy1 0.000 0.000 0.000
Dy2 0.000 0.167 0.000
Dy3 0.000 0.370 0.000
Dy4 0.201 0.500 0.000
Dy5 0.244 0.170 0.000
Hg1 0.000 0.500 0.500
Hg2 0.108 0.261 0.500
Hg3 0.139 0.075 0.500
Pd1 0.150 0.401 0.500
```

Results
ΔE_f = -0.637 eV per atom
Theoretical density = 11.54 g cm⁻³
DFT total energy = -3.72 eV/atom